## CuBi2Au2 (SCAN)

Data for a crystal of CuBi2Au2 relaxed with PBEsol.

Output
**Formation energy**: 0.29 eV per atom
**Space-group type**: I4/mmm, No. 139
**Size of the total moment**: 0.00 μB/f.u.
**Total DFT energy (no corrections)**: -61.847 eV per atom

Cell lengths 8.583, 8.583, 8.583 Å; angles 154.98, 154.98, 35.68 degrees
Atoms (fractional coordinates):
Cu 0.000 0.000 0.000
Bi 0.401 0.401 0.000
Bi 0.599 0.599 0.000
Au 0.250 0.750 0.500
Au 0.750 0.250 0.500

=====

## KCu3Ag (SCAN)

Data for a crystal of KCu3Ag relaxed with PBEsol.

Output
**Formation energy**: 1.87 eV per atom
**Space-group type**: Pm-3m, No. 221
**Size of the total moment**: 0.00 μB/f.u.
**Total DFT energy (no corrections)**: -15.190 eV per atom

Cell lengths 4.739, 4.739, 4.739 Å; angles 90.00, 90.00, 90.00 degrees
Atoms (fractional coordinates):
K 0.000 0.000 0.000
Cu 0.000 0.000 0.500
Cu 0.000 0.500 0.000
Cu 0.500 0.000 0.000
Ag 0.500 0.500 0.500

=====

## FeTc2Ru (SCAN)

Data for a crystal of FeTc2Ru relaxed with PBEsol.

Output
**Excess energy over the best structure of this formula in the dataset**: 47 meV per atom
**Formation energy**: 0.08 eV per atom
**Space-group type**: I4/mmm, No. 139
**Size of the total moment**: 0.92 μB/f.u.
**Total DFT energy (no corrections)**: -30.686 eV per atom

Cell lengths 4.554, 4.554, 4.554 Å; angles 131.81, 131.81, 70.53 degrees
Atoms (fractional coordinates):
Fe 0.000 0.000 0.000
Tc 0.250 0.750 0.500
Tc 0.750 0.250 0.500
Ru 0.500 0.500 0.000

=====

## LiW2Se (SCAN)

Data for a crystal of LiW2Se relaxed with PBEsol.

Output
**Energy relative to the elements, uncorrected**: 0.37 eV per formula unit
**Space-group type**: Amm2, No. 38
**Size of the total moment**: 0.00 μB/f.u.
**Total DFT energy (no corrections)**: -40.369 eV per atom

Cell lengths 3.200, 6.050, 6.050 Å; angles 32.89, 90.00, 90.00 degrees
Atoms (fractional coordinates):
Li 0.000 0.000 0.000
W 0.000 0.746 0.746
W 0.500 0.352 0.352
Se 0.500 0.571 0.571

=====

## Te2OsPbN (SCAN)

Data for a crystal of Te2OsPbN relaxed with PBEsol.

Output
**Energy relative to the elements, uncorrected**: 1.15 eV per formula unit
**Space-group type**: P4/mmm, No. 123
**Size of the total moment**: 0.00 μB/f.u.
**Total DFT energy (no corrections)**: -46.062 eV per atom

Cell lengths 5.544, 5.544, 3.692 Å; angles 90.00, 90.00, 90.00 degrees
Atoms (fractional coordinates):
Te 0.000 0.500 0.000
Te 0.500 0.000 0.000
Os 0.000 0.000 0.000
Pb 0.500 0.500 0.500
N 0.000 0.000 0.500

=====

## BeReN2F (SCAN)

Data for a crystal of BeReN2F relaxed with PBEsol.

Output
**Energy relative to the elements, uncorrected**: 1.56 eV per formula unit
**Space-group type**: P4/mmm, No. 123
**Size of the total moment**: 1.29 μB/f.u.
**Total DFT energy (no corrections)**: -19.202 eV per atom

Cell lengths 3.718, 3.718, 2.905 Å; angles 90.00, 90.00, 90.00 degrees
Atoms (fractional coordinates):
Be 0.000 0.000 0.000
Re 0.500 0.500 0.500
N 0.000 0.500 0.000
N 0.500 0.000 0.000
F 0.000 0.000 0.500

=====

## Sr4Cd3 (SCAN)

Data for a crystal of Sr4Cd3 relaxed with PBEsol.

Output
**Formation energy**: -0.26 eV per atom
**Space-group type**: I4/mmm, No. 139
**Size of the total moment**: 0.16 μB/f.u.
**Total DFT energy (no corrections)**: -26.021 eV per atom

Cell lengths 15.785, 15.785, 15.785 Å; angles 165.50, 165.50, 20.56 degrees
Atoms (fractional coordinates):
Sr 0.062 0.062 0.000
Sr 0.335 0.335 0.000
Sr 0.665 0.665 0.000
Sr 0.938 0.938 0.000
Cd 0.226 0.226 0.000
Cd 0.500 0.500 0.000
Cd 0.774 0.774 0.000

=====

## MgCr2Tc (SCAN)

Data for a crystal of MgCr2Tc relaxed with PBEsol.

Output
**Formation energy**: 0.14 eV per atom
**Space-group type**: F-43m, No. 216
**Size of the total moment**: 2.83 μB/f.u.
**Total DFT energy (no corrections)**: -19.065 eV per atom

Cell lengths 4.256, 4.256, 4.256 Å; angles 60.00, 60.00, 60.00 degrees
Atoms (fractional coordinates):
Mg 0.000 0.000 0.000
Cr 0.250 0.250 0.250
Cr 0.500 0.500 0.500
Tc 0.750 0.750 0.750